No. 1
Cs2SrThSe4 after structural relaxation. Source: the Alexandria database, functional PBE-GGA.

The structure belongs to space group P2/m (No. 10); the cell edges are 7.8090, 4.4958 and 8.7713 Å and the angles 90.00°, 107.16° and 90.00°. The asymmetric unit holds Cs at (0.0000, 0.0000, 0.0000), Cs at (0.5000, 0.5000, 0.0000), Sr at (0.0000, 0.5000, 0.5000), Th at (0.5000, 0.0000, 0.5000), Se at (0.2534, 0.0000, 0.6913) and Se at (0.2878, 0.5000, 0.3104).

The calculation puts the density of states at the Fermi level at 0.00 states/eV/cell. The value obtained for the calculated volume is 294.24 Å³/f.u. As for the density: 5.09 g cm⁻³. The total magnetization comes out at 0.00 μB per cell. The value obtained for the uncorrected formation energy is -13.6 eV per formula unit.



No. 2
Cs2SrTl2Se4 after structural relaxation. Source: the Alexandria database, functional PBE-GGA.

The structure belongs to space group C2/m (No. 12); the cell edges are 16.8039, 5.1146 and 8.3458 Å and the angles 90.00°, 107.68° and 90.00°. The asymmetric unit holds Cs at (0.1282, 0.0000, 0.0621), Sr at (0.0000, 0.0000, 0.5000), Tl at (0.1688, 0.5000, 0.5232), Se at (0.0180, 0.5000, 0.2675) and Se at (0.2010, 0.0000, 0.6729).

The calculation puts the density of states at the Fermi level at 3.88 states/eV/cell. The value obtained for the calculated volume is 341.70 Å³/f.u. As for the density: 5.24 g cm⁻³. The total magnetization comes out at 0.00 μB per cell. The value obtained for the uncorrected formation energy is -8.7 eV per formula unit.



No. 3
CsSrTlSe3 after structural relaxation. Source: the Alexandria database, functional PBE-GGA.

The structure belongs to space group C2/m (No. 12); the cell edges are 13.8784, 6.3514 and 10.2320 Å and the angles 90.00°, 102.00° and 90.00°. The asymmetric unit holds Cs at (0.1550, 0.0000, 0.0401), Sr at (0.1575, 0.0000, 0.5701), Tl at (0.0325, 0.5000, 0.3284), Se at (0.0150, 0.0000, 0.2959), Se at (0.1488, 0.5000, 0.5941) and Se at (0.1659, 0.5000, 0.1819).

The value obtained for the calculated volume is 220.55 Å³/f.u. As for the density: 4.98 g cm⁻³. The total magnetization comes out at 0.00 μB per cell. The value obtained for the uncorrected formation energy is -5.9 eV per formula unit.



No. 4
Cs3SrTm2Se6 after structural relaxation. Source: the Alexandria database, functional PBE-GGA.

The structure belongs to space group C2/m (No. 12); the cell edges are 7.5143, 13.0274 and 8.7345 Å and the angles 90.00°, 106.73° and 90.00°. The asymmetric unit holds Cs at (0.0000, 0.0000, 0.0000), Cs at (0.0000, 0.3396, 0.0000), Sr at (0.0000, 0.5000, 0.5000), Tm at (0.0000, 0.1674, 0.5000), Se at (0.2036, 0.0000, 0.6847) and Se at (0.2420, 0.3209, 0.6878).

The calculation puts the density of states at the Fermi level at 21.70 states/eV/cell. The value obtained for the calculated volume is 409.42 Å³/f.u. As for the density: 5.26 g cm⁻³. The total magnetization comes out at 0.00 μB per cell. The value obtained for the uncorrected formation energy is -18.9 eV per formula unit.